Below is a geometry-optimized KBi2Au2 structure, with properties calculated at the PBE level.

abc: 8.947 8.947 3.411
angles: 90.00 90.00 90.00
Positions (direct):
K (0.000, 0.000, 0.000)
K (0.500, 0.500, 0.000)
Au (0.165, 0.665, 0.500)
Au (0.665, 0.835, 0.500)
Au (0.835, 0.335, 0.500)
Au (0.335, 0.165, 0.500)
Bi (0.365, 0.865, 0.000)
Bi (0.865, 0.635, 0.000)
Bi (0.635, 0.135, 0.000)
Bi (0.135, 0.365, 0.000)

Summary:
total DFT energy (no corrections) = -31.9 eV per cell
energy of formation = -0.52 eV per formula unit
SG = P4/mbm, No. 127